# PBE BaNaIr2, relaxed
# N(E_F) in states/eV/cell: 8.4
# Total DFT energy (no corrections) in eV per atom: -4.569
# Energy above the lowest structure with this stoichiometry in eV/atom: 0.0000
# Mass density in Mg/m³: 9.641
# Formation energy from the elements in eV per atom: 0.67
data_BaNaIr2
_cell_length_a 8.486
_cell_length_b 8.486
_cell_length_c 5.212
_cell_angle_alpha 90.00
_cell_angle_beta 90.00
_cell_angle_gamma 90.00
_space_group_name_H-M_alt 'I -4 2 d'
_space_group_IT_number 122
_space_group_name_Hall 'I -4 2bw'
loop_
_atom_site_label
_atom_site_fract_x
_atom_site_fract_y
_atom_site_fract_z
Ba1 0.000 0.000 0.000
Na1 0.000 0.000 0.500
Ir1 0.236 0.250 0.625

---

# PBE Ba2NaIr2, relaxed
# N(E_F) in states/eV/cell: 13.8
# Total DFT energy (no corrections) in eV per atom: -4.397
# Energy above the lowest structure with this stoichiometry in eV/atom: 0.2890
# Mass density in Mg/m³: 7.413
# Formation energy from the elements in eV per atom: 0.18
data_Ba2NaIr2
_cell_length_a 8.138
_cell_length_b 8.138
_cell_length_c 4.614
_cell_angle_alpha 90.00
_cell_angle_beta 90.00
_cell_angle_gamma 90.00
_space_group_name_H-M_alt 'P 4/m b m'
_space_group_IT_number 127
_space_group_name_Hall '-P 4 2ab'
loop_
_atom_site_label
_atom_site_fract_x
_atom_site_fract_y
_atom_site_fract_z
Ba1 0.175 0.325 0.000
Na1 0.000 0.000 0.500
Ir1 0.107 0.607 0.500

---

# PBE BaNaIr, relaxed
# N(E_F) in states/eV/cell: 6.5
# Total DFT energy (no corrections) in eV per atom: -4.162
# Energy above the lowest structure with this stoichiometry in eV/atom: 0.0000
# Mass density in Mg/m³: 4.933
# Formation energy from the elements in eV per atom: -0.13
data_BaNaIr
_cell_length_a 4.396
_cell_length_b 4.396
_cell_length_c 14.402
_cell_angle_alpha 81.27
_cell_angle_beta 81.24
_cell_angle_gamma 60.01
_space_group_name_H-M_alt 'P -1'
_space_group_IT_number 2
loop_
_space_group_symop_operation_xyz
'x,y,z'
'-x,-y,-z'
loop_
_atom_site_label
_atom_site_fract_x
_atom_site_fract_y
_atom_site_fract_z
Ba1 0.050 0.050 0.349
Na1 0.198 0.200 0.905
Ir1 0.333 0.333 0.500

---

# PBE Ba6Na4Ir, relaxed
# N(E_F) in states/eV/cell: 15.5
# Total DFT energy (no corrections) in eV per atom: -2.410
# Mass density in Mg/m³: 3.377
# Formation energy from the elements in eV per atom: -0.08
data_Ba6Na4Ir
_cell_length_a 9.982
_cell_length_b 9.982
_cell_length_c 10.937
_cell_angle_alpha 90.00
_cell_angle_beta 90.00
_cell_angle_gamma 90.00
_space_group_name_H-M_alt 'P 4/m n c'
_space_group_IT_number 128
_space_group_name_Hall '-P 4 2n'
loop_
_atom_site_label
_atom_site_fract_x
_atom_site_fract_y
_atom_site_fract_z
Ba1 0.000 0.000 0.220
Ba2 0.143 0.281 0.500
Na1 0.119 0.619 0.250
Ir1 0.000 0.000 0.500

---

# PBE Ba4Na2Ir, relaxed
# N(E_F) in states/eV/cell: 11.5
# Total DFT energy (no corrections) in eV per atom: -2.790
# Energy above the lowest structure with this stoichiometry in eV/atom: 0.0000
# Mass density in Mg/m³: 3.505
# Formation energy from the elements in eV per atom: -0.05
data_Ba4Na2Ir
_cell_length_a 6.192
_cell_length_b 6.192
_cell_length_c 19.460
_cell_angle_alpha 90.00
_cell_angle_beta 90.00
_cell_angle_gamma 90.00
_space_group_name_H-M_alt 'I 4/m m m'
_space_group_IT_number 139
_space_group_name_Hall '-I 4 2'
loop_
_atom_site_label
_atom_site_fract_x
_atom_site_fract_y
_atom_site_fract_z
Ba1 0.000 0.000 0.157
Ba2 0.000 0.500 0.000
Na1 0.000 0.000 0.362
Ir1 0.000 0.000 0.000

---

# PBE Ba7Na2Ir2, relaxed
# N(E_F) in states/eV/cell: 17.9
# Total DFT energy (no corrections) in eV per atom: -3.133
# Mass density in Mg/m³: 4.443
# Formation energy from the elements in eV per atom: -0.06
data_Ba7Na2Ir2
_cell_length_a 9.520
_cell_length_b 12.843
_cell_length_c 8.508
_cell_angle_alpha 90.00
_cell_angle_beta 90.00
_cell_angle_gamma 90.00
_space_group_name_H-M_alt 'C m m m'
_space_group_IT_number 65
_space_group_name_Hall '-C 2 2'
loop_
_atom_site_label
_atom_site_fract_x
_atom_site_fract_y
_atom_site_fract_z
Ba1 0.000 0.000 0.000
Ba2 0.000 0.500 0.216
Ba3 0.250 0.250 0.229
Na1 0.163 0.000 0.500
Ir1 0.000 0.293 0.000

---

# PBE Ba3Na2Ir, relaxed
# N(E_F) in states/eV/cell: 10.0
# Total DFT energy (no corrections) in eV per atom: -2.921
# Mass density in Mg/m³: 3.892
# Formation energy from the elements in eV per atom: -0.04
data_Ba3Na2Ir
_cell_length_a 11.973
_cell_length_b 10.113
_cell_length_c 9.163
_cell_angle_alpha 90.00
_cell_angle_beta 90.00
_cell_angle_gamma 90.00
_space_group_name_H-M_alt 'C m c m'
_space_group_IT_number 63
_space_group_name_Hall '-C 2c 2'
loop_
_atom_site_label
_atom_site_fract_x
_atom_site_fract_y
_atom_site_fract_z
Ba1 0.000 0.205 0.250
Ba2 0.170 0.500 0.000
Na1 0.127 0.218 0.750
Ir1 0.000 0.492 0.750

---

# PBE Ba4Na2Ir, relaxed
# N(E_F) in states/eV/cell: 13.4
# Total DFT energy (no corrections) in eV per atom: -2.776
# Energy above the lowest structure with this stoichiometry in eV/atom: 0.0136
# Mass density in Mg/m³: 3.814
# Formation energy from the elements in eV per atom: -0.03
data_Ba4Na2Ir
_cell_length_a 9.214
_cell_length_b 8.129
_cell_length_c 9.681
_cell_angle_alpha 90.00
_cell_angle_beta 108.95
_cell_angle_gamma 90.00
_space_group_name_H-M_alt 'P 1 21/m 1'
_space_group_IT_number 11
loop_
_space_group_symop_operation_xyz
'x,y,z'
'-x,-y,-z'
'-x,y+1/2,-z'
'x,-y+1/2,z'
loop_
_atom_site_label
_atom_site_fract_x
_atom_site_fract_y
_atom_site_fract_z
Ba1 0.026 0.250 0.220
Ba2 0.337 0.502 0.582
Ba3 0.379 0.250 0.043
Na1 0.019 0.250 0.685
Na2 0.290 0.750 0.187
Ir1 0.380 0.250 0.355

---

# PBE Ba4NaIr, relaxed
# N(E_F) in states/eV/cell: 20.0
# Total DFT energy (no corrections) in eV per atom: -3.036
# Energy above the lowest structure with this stoichiometry in eV/atom: 0.0097
# Mass density in Mg/m³: 4.459
# Formation energy from the elements in eV per atom: -0.06
data_Ba4NaIr
_cell_length_a 10.559
_cell_length_b 14.969
_cell_length_c 7.591
_cell_angle_alpha 90.00
_cell_angle_beta 108.36
_cell_angle_gamma 90.00
_space_group_name_H-M_alt 'C 1 2/c 1'
_space_group_IT_number 15
loop_
_space_group_symop_operation_xyz
'x,y,z'
'-x,-y,-z'
'-x,y,-z+1/2'
'x,-y,z+1/2'
'x+1/2,y+1/2,z'
'-x+1/2,-y+1/2,-z'
'-x+1/2,y+1/2,-z+1/2'
'x+1/2,-y+1/2,z+1/2'
loop_
_atom_site_label
_atom_site_fract_x
_atom_site_fract_y
_atom_site_fract_z
Ba1 0.098 0.156 0.048
Ba2 0.241 0.422 0.387
Na1 0.000 0.372 0.750
Ir1 0.000 0.001 0.750

---

# PBE BaNa2Ir, relaxed
# N(E_F) in states/eV/cell: 9.5
# Total DFT energy (no corrections) in eV per atom: -2.973
# Energy above the lowest structure with this stoichiometry in eV/atom: 0.0033
# Mass density in Mg/m³: 6.150
# Formation energy from the elements in eV per atom: 0.38
data_BaNa2Ir
_cell_length_a 7.402
_cell_length_b 7.402
_cell_length_c 7.402
_cell_angle_alpha 90.00
_cell_angle_beta 90.00
_cell_angle_gamma 90.00
_space_group_name_H-M_alt 'F m -3 m'
_space_group_IT_number 225
_space_group_name_Hall '-F 4 2 3'
loop_
_atom_site_label
_atom_site_fract_x
_atom_site_fract_y
_atom_site_fract_z
Ba1 0.000 0.000 0.000
Na1 0.250 0.250 0.250
Ir1 0.000 0.000 0.500

---

# PBE Ba8Na3Ir2, relaxed
# N(E_F) in states/eV/cell: 20.8
# Total DFT energy (no corrections) in eV per atom: -2.918
# Mass density in Mg/m³: 3.797
# Formation energy from the elements in eV per atom: -0.07
data_Ba8Na3Ir2
_cell_length_a 19.271
_cell_length_b 9.271
_cell_length_c 7.600
_cell_angle_alpha 90.00
_cell_angle_beta 90.81
_cell_angle_gamma 90.00
_space_group_name_H-M_alt 'C 1 2/m 1'
_space_group_IT_number 12
loop_
_space_group_symop_operation_xyz
'x,y,z'
'-x,-y,-z'
'-x,y,-z'
'x,-y,z'
'x+1/2,y+1/2,z'
'-x+1/2,-y+1/2,-z'
'-x+1/2,y+1/2,-z'
'x+1/2,-y+1/2,z'
loop_
_atom_site_label
_atom_site_fract_x
_atom_site_fract_y
_atom_site_fract_z
Ba1 0.138 0.000 0.297
Ba2 0.163 0.256 0.836
Ba3 0.173 0.500 0.326
Na1 0.000 0.308 0.500
Na2 0.000 0.500 0.000
Ir1 0.243 0.000 0.008

---

# PBE Ba6NaIr2, relaxed
# N(E_F) in states/eV/cell: 19.8
# Total DFT energy (no corrections) in eV per atom: -3.469
# Energy above the lowest structure with this stoichiometry in eV/atom: 0.0000
# Mass density in Mg/m³: 4.633
# Formation energy from the elements in eV per atom: -0.07
data_Ba6NaIr2
_cell_length_a 8.2957
_cell_length_b 8.2957
_cell_length_c 22.2137
_cell_angle_alpha 90.00
_cell_angle_beta 90.00
_cell_angle_gamma 120.00
_space_group_name_H-M_alt 'R 3'
_space_group_IT_number 146
_space_group_name_Hall 'R 3'
loop_
_atom_site_label
_atom_site_fract_x
_atom_site_fract_y
_atom_site_fract_z
Ba1 0.0337 0.3455 0.0000
Ba2 0.1023 0.7406 0.8282
Na1 0.0000 0.0000 0.5387
Ir1 0.0000 0.0000 0.0684
Ir2 0.0000 0.0000 0.2558

---

The calculation returns the following volume values, one per record and in order: 23.458, 30.559, 39.556, 49.530, 53.303, 47.288, 46.232, 48.986, 47.451, 25.347, 52.216, 49.034 Å³ per atom.